Record 1
An optimized crystal structure of BaLi3Au2. Source: Alexandria via LeMat-Bulk, functional PBE.

## Properties
Fermi-level density of states: 5.77 states/eV/cell
ΔE_f: -0.496 eV per atom
Crystal system: monoclinic
Space-group type: C2/m
Magnetization: 0.00 μB per formula unit
Electronic total energy: -2.87 eV per atom

Cell: 4.415 8.502 8.425 Å, 113.93 90.00 105.05°
Atoms (fractional coordinates):
1 Ba 0.852 0.705 0.941
2 Ba 0.148 0.295 0.059
3 Li 0.313 0.626 0.540
4 Li 0.955 0.910 0.621
5 Li 0.588 0.175 0.654
6 Li 0.412 0.825 0.346
7 Li 0.045 0.090 0.379
8 Li 0.687 0.374 0.460
9 Au 0.478 0.957 0.814
10 Au 0.522 0.043 0.186
11 Au 0.812 0.624 0.323
12 Au 0.188 0.376 0.677

=====

Record 2
An optimized crystal structure of BaLi2Au. Source: Alexandria via LeMat-Bulk, functional PBE.

## Properties
Fermi-level density of states: 18.03 states/eV/cell
ΔE_f: -0.392 eV per atom
Crystal system: orthorhombic
Offset from the most stable computed form: 6.0 meV/atom
Space-group type: Pnma
Magnetization: 0.00 μB per formula unit
Electronic total energy: -2.65 eV per atom

Cell: 6.301 8.070 16.887 Å, 90.00 90.00 90.00°
Atoms (fractional coordinates):
1 Ba 0.478 0.250 0.137
2 Ba 0.978 0.750 0.363
3 Ba 0.522 0.750 0.863
4 Ba 0.022 0.250 0.637
5 Ba 0.784 0.250 0.394
6 Ba 0.284 0.750 0.106
7 Ba 0.216 0.750 0.606
8 Ba 0.716 0.250 0.894
9 Li 0.972 0.061 0.206
10 Li 0.472 0.939 0.294
11 Li 0.028 0.561 0.794
12 Li 0.528 0.439 0.706
13 Li 0.028 0.939 0.794
14 Li 0.528 0.061 0.706
15 Li 0.972 0.439 0.206
16 Li 0.472 0.561 0.294
17 Li 0.817 0.566 0.049
18 Li 0.317 0.434 0.451
19 Li 0.183 0.066 0.951
20 Li 0.683 0.934 0.549
21 Li 0.183 0.434 0.951
22 Li 0.683 0.566 0.549
23 Li 0.817 0.934 0.049
24 Li 0.317 0.066 0.451
25 Au 0.257 0.250 0.313
26 Au 0.757 0.750 0.187
27 Au 0.743 0.750 0.687
28 Au 0.243 0.250 0.813
29 Au 0.986 0.250 0.069
30 Au 0.486 0.750 0.431
31 Au 0.014 0.750 0.931
32 Au 0.514 0.250 0.569